(1)
Density functional theory data (PBE) for a geometry-optimized Ce2Co4P3Pd structure.

Output
Energy of formation   -841 meV per atom

Lattice parameters (Å, degrees): 3.7591 3.7591 10.3884 90.00 90.00 90.00
Atoms (fractional coordinates):
Ce 0.0000 0.5000 0.2461
Ce 0.5000 0.0000 0.7539
Co 0.0000 0.0000 0.5000
Co 0.0000 0.5000 0.8311
Co 0.5000 0.0000 0.1689
Co 0.5000 0.5000 0.5000
P 0.0000 0.0000 0.0000
P 0.0000 0.5000 0.6198
P 0.5000 0.0000 0.3802
Pd 0.5000 0.5000 0.0000

---

(2)
Density functional theory data (PBE) for a geometry-optimized AlSi2Os structure.

Output
Formation energy without anion corrections   0.010 eV per atom

Lattice parameters (Å, degrees): 2.9881 2.9881 22.8661 90.00 90.00 120.00
Atoms (fractional coordinates):
Al 0.0000 0.0000 0.0000
Al 0.3333 0.6667 0.6667
Al 0.6667 0.3333 0.3333
Si 0.0000 0.0000 0.2446
Si 0.0000 0.0000 0.7554
Si 0.3333 0.6667 0.4221
Si 0.3333 0.6667 0.9113
Si 0.6667 0.3333 0.0887
Si 0.6667 0.3333 0.5779
Os 0.0000 0.0000 0.5000
Os 0.3333 0.6667 0.1667
Os 0.6667 0.3333 0.8333

---

| no. | magnetization (μB/atom) | VASP energy (eV per atom) |
| --- | --- | --- |
| 1 | 0.000 | -7.0119 |
| 2 | 0.000 | -6.4443 |